No. 1
Material: Hf2BrN
Method: DFT, PBEsol
State: relaxed

Results
For the formation energy from raw total energies, the calculation gives -0.10 eV/atom. The value obtained for the energy above the most stable polymorph in this dataset is 561 meV per atom.

a = 4.3543 Å, b = 4.3543 Å, c = 4.3543 Å
α = 60.00°, β = 60.00°, γ = 60.00°
Element x y z (fractional)
N 0.0000 0.0000 0.0000
Hf 0.2500 0.2500 0.2500
Hf 0.7500 0.7500 0.7500
Br 0.5000 0.5000 0.5000

***

No. 2
Material: ZrTe2Rh
Method: DFT, PBEsol
State: relaxed

Results
For the formation energy from raw total energies, the calculation gives -0.34 eV/atom. The value obtained for the energy above the most stable polymorph in this dataset is 239 meV per atom.

a = 4.0418 Å, b = 4.0418 Å, c = 5.7183 Å
α = 110.70°, β = 110.70°, γ = 90.00°
Element x y z (fractional)
Zr 0.5000 0.5000 0.0000
Rh 0.2500 0.7500 0.5000
Te 0.7500 0.2500 0.5000
Te 0.0000 0.0000 0.0000

***

No. 3
Material: Ba2ZrBr
Method: DFT, PBEsol
State: relaxed

Results
For the formation energy from raw total energies, the calculation gives -0.31 eV/atom.

a = 3.7054 Å, b = 3.7054 Å, c = 9.9765 Å
α = 90.00°, β = 90.00°, γ = 90.00°
Element x y z (fractional)
Ba 0.0000 0.0000 0.7338
Ba 0.0000 0.0000 0.2662
Zr 0.5000 0.5000 0.0000
Br 0.5000 0.5000 0.5000

***

No. 4
Material: TaZn3Pd
Method: DFT, PBEsol
State: relaxed

Results
Its energy relative to the elements is 1463 meV per atom.

a = 4.8446 Å, b = 4.8446 Å, c = 4.8446 Å
α = 90.00°, β = 90.00°, γ = 90.00°
Element x y z (fractional)
Zn 0.0000 0.0000 0.5000
Zn 0.5000 0.0000 0.0000
Zn 0.0000 0.5000 0.0000
Ta 0.0000 0.0000 0.0000
Pd 0.5000 0.5000 0.5000

***

No. 5
Material: CdB3Pb
Method: DFT, PBEsol
State: relaxed

Results
Its energy relative to the elements is 2422 meV per atom.

a = 4.6254 Å, b = 4.6254 Å, c = 4.6254 Å
α = 90.00°, β = 90.00°, γ = 90.00°
Element x y z (fractional)
B 0.0000 0.5000 0.0000
B 0.0000 0.0000 0.5000
B 0.5000 0.0000 0.0000
Pb 0.0000 0.0000 0.0000
Cd 0.5000 0.5000 0.5000

***

No. 6
Material: OsRh2Cl
Method: DFT, PBEsol
State: relaxed

Results
For the formation energy from raw total energies, the calculation gives 0.66 eV/atom. The value obtained for the energy above the most stable polymorph in this dataset is 82 meV per atom.

a = 2.7913 Å, b = 3.4531 Å, c = 6.0986 Å
α = 90.00°, β = 90.00°, γ = 90.00°
Element x y z (fractional)
Rh 0.0000 0.0000 0.9926
Rh 0.5000 0.5000 0.2307
Os 0.5000 0.5000 0.7881
Cl 0.0000 0.0000 0.4886

***

No. 7
Material: Nb3Fe8Si
Method: DFT, PBEsol
State: relaxed

Results
For the formation energy from raw total energies, the calculation gives -0.18 eV/atom.

a = 4.6822 Å, b = 4.6822 Å, c = 7.6660 Å
α = 90.00°, β = 90.00°, γ = 120.00°
Element x y z (fractional)
Fe 0.8316 0.6632 0.2509
Fe 0.3368 0.1684 0.2509
Fe 0.0000 0.0000 0.4971
Fe 0.1702 0.8298 0.7467
Fe 0.0000 0.0000 0.9905
Fe 0.8316 0.1684 0.2509
Fe 0.6597 0.8298 0.7467
Fe 0.1702 0.3403 0.7467
Nb 0.3333 0.6667 0.0838
Nb 0.6667 0.3333 0.9322
Nb 0.6667 0.3333 0.5558
Si 0.3333 0.6667 0.4476

***

No. 8
Material: HfBe2Ag
Method: DFT, PBEsol
State: relaxed

Results
Its energy relative to the elements is 524 meV per atom.

a = 4.0278 Å, b = 4.0278 Å, c = 8.3451 Å
α = 103.96°, β = 103.96°, γ = 90.00°
Element x y z (fractional)
Be 0.6250 0.8750 0.2500
Be 0.1250 0.3750 0.7500
Be 0.6250 0.3750 0.2500
Be 0.6250 0.3750 0.7500
Ag 0.5000 0.5000 0.0000
Ag 0.7500 0.2500 0.5000
Hf 0.2500 0.7500 0.5000
Hf 0.0000 0.0000 0.0000

***

| no. | density of states at the Fermi level (states/eV per atom) |
| --- | --- |
| 1 | 0.166 |
| 2 | 0.450 |
| 3 | 1.710 |
| 4 | 1.039 |
| 5 | 0.539 |
| 6 | 0.891 |
| 7 | 1.237 |
| 8 | 0.573 |